(1)
HgRhBr2: relaxed, PBE.

Volume (Å³ per atom): 25.46
Total moment (μB per formula unit): 0.00
E_form (uncorrected) (eV/atom): 0.239

Cell: 11.6389 11.6389 11.6389 Å, 15.80 15.80 15.80°
Last column: nearest neighbours and their distance in Å.
Element x y z (fractional)
Hg  0.0000  0.0000  0.0000  6 Hg 3.20
Rh  0.5000  0.5000  0.5000  2 Br 2.36
Br  0.4317  0.4317  0.4317  1 Rh 2.36
Br  0.5683  0.5683  0.5683  1 Rh 2.36



(2)
HgRhBr: relaxed, PBE.

Volume (Å³ per atom): 21.40
Total moment (μB per formula unit): 0.28
E_form (uncorrected) (eV/atom): 0.341

Cell: 6.4950 6.4950 6.4950 Å, 151.02 151.02 41.45°
Last column: nearest neighbours and their distance in Å.
Element x y z (fractional)
Hg  0.0000  0.0000  0.0000  4 Rh 2.83
Rh  0.6355  0.6355  0.0000  4 Hg 2.83, 4 Br 2.84
Br  0.2725  0.2725  0.0000  4 Rh 2.84



(3)
HgRhBr: relaxed, PBE.

Volume (Å³ per atom): 22.46
Total moment (μB per formula unit): 0.00
E_form (uncorrected) (eV/atom): 0.307

Cell: 7.2336 6.8161 3.4323 Å, 82.74 69.18 28.08°
Last column: nearest neighbours and their distance in Å.
Element x y z (fractional)
Hg  0.0000  0.0000  0.0000  2 Rh 2.72
Rh  0.6595  0.6595  0.3405  2 Br 2.47, 2 Hg 2.72
Br  0.2940  0.2940  0.7060  2 Rh 2.47



(4)
Hg2RhBr: relaxed, PBE.

Volume (Å³ per atom): 21.69
Total moment (μB per formula unit): 0.00
E_form (uncorrected) (eV/atom): 0.158

Cell: 3.3686 3.3686 7.6447 Å, 90.00 90.00 90.23°
Last column: nearest neighbours and their distance in Å.
Element x y z (fractional)
Hg  0.0000  0.0000  0.2081  4 Rh 2.86-2.87, 1 Hg 3.18
Hg  0.0000  0.0000  0.7919  4 Rh 2.86-2.87, 1 Hg 3.18
Rh  0.5000  0.5000  0.0000  8 Hg 2.86-2.87
Br  0.5000  0.5000  0.5000  8 Hg 3.26-3.27, 4 Br 3.37



(5)
Hg2RhBr: relaxed, PBE.

Volume (Å³ per atom): 21.51
Total moment (μB per formula unit): 0.00
E_form (uncorrected) (eV/atom): 0.516

Cell: 4.9553 4.9553 4.9553 Å, 60.00 60.00 60.00°
Last column: nearest neighbours and their distance in Å.
Element x y z (fractional)
Hg  0.2500  0.2500  0.2500  4 Br 3.03, 4 Rh 3.03
Hg  0.7500  0.7500  0.7500  4 Br 3.03, 4 Rh 3.03
Rh  0.0000  0.0000  0.0000  8 Hg 3.03
Br  0.5000  0.5000  0.5000  8 Hg 3.03



(6)
HgRhBr2: relaxed, PBE.

Volume (Å³ per atom): 26.85
Total moment (μB per formula unit): 0.19
E_form (uncorrected) (eV/atom): -0.062

Cell: 4.3426 3.4412 7.4976 Å, 90.00 106.53 90.00°
Last column: nearest neighbours and their distance in Å.
Element x y z (fractional)
Hg  0.0000  0.0000  0.0000  4 Rh 2.82
Rh  0.4645  0.5000  0.9278  3 Br 2.47-2.53
Br  0.3376  0.0000  0.6691  2 Rh 2.53
Br  0.6329  0.5000  0.2712  1 Rh 2.47



(7)
HgRhBr: relaxed, PBE.

Volume (Å³ per atom): 22.05
Total moment (μB per formula unit): 0.85
E_form (uncorrected) (eV/atom): 0.223

Cell: 3.5403 3.5403 6.0928 Å, 90.00 90.00 120.00°
Last column: nearest neighbours and their distance in Å.
Element x y z (fractional)
Hg  0.0000  0.0000  0.0000  3 Rh 2.79
Rh  0.6667  0.3333  0.3108  3 Br 2.60, 3 Hg 2.79
Br  0.3333  0.6667  0.5750  3 Rh 2.60



(8)
HgRhBr2: relaxed, PBE.

Volume (Å³ per atom): 25.59
Total moment (μB per formula unit): 1.03
E_form (uncorrected) (eV/atom): -0.061

Cell: 8.5205 8.5205 8.5205 Å, 25.69 25.69 25.69°
Last column: nearest neighbours and their distance in Å.
Element x y z (fractional)
Hg  0.0000  0.0000  0.0000  3 Rh 2.82, 3 Br 2.86
Rh  0.2615  0.2615  0.2615  3 Br 2.54, 3 Hg 2.82
Br  0.5422  0.5422  0.5422  3 Rh 2.54
Br  0.7410  0.7410  0.7410  3 Hg 2.86



(9)
HgRhBr2: relaxed, PBE.

Volume (Å³ per atom): 29.12
Total moment (μB per formula unit): 0.00
E_form (uncorrected) (eV/atom): -0.067

Cell: 3.3192 3.5998 9.7491 Å, 90.00 90.33 90.00°
Last column: nearest neighbours and their distance in Å.
Element x y z (fractional)
Hg  0.0000  0.0000  0.0000  4 Hg 3.32-3.60
Rh  0.5000  0.0000  0.5000  4 Br 2.46
Br  0.4970  0.5000  0.3286  2 Rh 2.46
Br  0.5030  0.5000  0.6714  2 Rh 2.46



(10)
HgRhBr2: relaxed, PBE.

Volume (Å³ per atom): 29.72
Total moment (μB per formula unit): 1.01
E_form (uncorrected) (eV/atom): -0.083

Cell: 9.8770 9.8770 9.8770 Å, 22.03 22.03 22.03°
Last column: nearest neighbours and their distance in Å.
Element x y z (fractional)
Hg  0.0000  0.0000  0.0000  6 Hg 3.77, 6 Br 4.05
Rh  0.5000  0.5000  0.5000  6 Br 2.59
Br  0.2152  0.2152  0.2152  3 Rh 2.59
Br  0.7848  0.7848  0.7848  3 Rh 2.59



(11)
HgRh2Br: relaxed, PBE.

Volume (Å³ per atom): 19.44
Total moment (μB per formula unit): 0.89
E_form (uncorrected) (eV/atom): 0.356

Cell: 9.0080 9.0080 9.0080 Å, 20.40 20.40 20.40°
Last column: nearest neighbours and their distance in Å.
Element x y z (fractional)
Hg  0.0000  0.0000  0.0000  3 Rh 2.86, 6 Hg 3.19
Rh  0.4867  0.4867  0.4867  3 Br 2.62, 3 Rh 2.62
Rh  0.7494  0.7494  0.7494  3 Rh 2.62, 3 Hg 2.86
Br  0.2236  0.2236  0.2236  3 Rh 2.62



(12)
Hg2RhBr: relaxed, PBE.

Volume (Å³ per atom): 23.56
Total moment (μB per formula unit): 0.00
E_form (uncorrected) (eV/atom): 0.189

Cell: 5.9161 5.9161 5.9161 Å, 147.82 119.93 69.80°
Last column: nearest neighbours and their distance in Å.
Element x y z (fractional)
Hg  0.0000  0.0000  0.0000  2 Rh 2.75
Hg  0.7276  0.2276  0.5000  4 Hg 3.11-3.28, 4 Rh 3.38, 4 Br 3.46-3.47
Rh  0.2269  0.7269  0.5000  2 Br 2.44
Br  0.4131  0.4131  0.0000  2 Rh 2.44



(13)
HgRhBr2: relaxed, PBE.

Volume (Å³ per atom): 29.10
Total moment (μB per formula unit): 1.01
E_form (uncorrected) (eV/atom): 0.104

Cell: 6.0463 6.0463 6.0463 Å, 145.53 107.07 83.23°
Last column: nearest neighbours and their distance in Å.
Element x y z (fractional)
Hg  0.0000  0.0000  0.0000  2 Rh 2.72, 2 Br 2.79
Rh  0.7737  0.2737  0.5000  2 Br 2.44, 2 Hg 2.72
Br  0.2366  0.7366  0.5000  2 Hg 2.79
Br  0.5897  0.5897  0.0000  2 Rh 2.44



(14)
HgRh2Br: relaxed, PBE.

Volume (Å³ per atom): 17.31
Total moment (μB per formula unit): 0.00
E_form (uncorrected) (eV/atom): 0.460

Cell: 3.1523 3.1523 6.9683 Å, 90.00 90.00 90.00°
Last column: nearest neighbours and their distance in Å.
Element x y z (fractional)
Hg  0.0000  0.0000  0.0000  8 Rh 2.88, 4 Hg 3.15
Rh  0.5000  0.5000  0.2625  4 Br 2.78, 4 Hg 2.88
Rh  0.5000  0.5000  0.7375  4 Br 2.78, 4 Hg 2.88
Br  0.0000  0.0000  0.5000  8 Rh 2.78



(15)
HgRh2Br: relaxed, PBE.

Volume (Å³ per atom): 18.15
Total moment (μB per formula unit): 0.00
E_form (uncorrected) (eV/atom): 0.502

Cell: 3.0952 3.0952 8.8971 Å, 90.00 90.00 121.60°
Last column: nearest neighbours and their distance in Å.
Element x y z (fractional)
Hg  0.0000  0.0000  0.0000  4 Rh 2.77, 6 Hg 3.02-3.10
Rh  0.5000  0.5000  0.2613  2 Br 2.61, 2 Hg 2.77
Rh  0.5000  0.5000  0.7387  2 Br 2.61, 2 Hg 2.77
Br  0.0000  0.0000  0.5000  4 Rh 2.61



(16)
HgRh2Br: relaxed, PBE.

Volume (Å³ per atom): 20.03
Total moment (μB per formula unit): 0.00
E_form (uncorrected) (eV/atom): 0.239

Cell: 3.0007 3.5075 7.7426 Å, 90.00 100.53 90.00°
Last column: nearest neighbours and their distance in Å.
Element x y z (fractional)
Hg  0.0000  0.0000  0.0000  5 Rh 2.84-3.03, 2 Hg 3.00
Rh  0.1885  0.0000  0.3986  2 Br 2.50, 4 Rh 2.69
Rh  0.6028  0.5000  0.2178  6 Rh 2.69-3.00, 4 Hg 2.84
Br  0.2998  0.5000  0.6334  2 Rh 2.50



(17)
TcHg2RhBr: relaxed, PBE.

Volume (Å³ per atom): 27.11
Total moment (μB per formula unit): 1.30
E_form (uncorrected) (eV/atom): 0.834

Cell: 5.4179 5.4179 4.6177 Å, 90.00 90.00 90.00°
Last column: nearest neighbours and their distance in Å.
Element x y z (fractional)
Tc  0.0000  0.0000  0.0000  2 Rh 2.31
Hg  0.0000  0.5000  0.0000  2 Tc 2.71
Hg  0.5000  0.0000  0.0000  2 Tc 2.71
Rh  0.0000  0.0000  0.5000  2 Tc 2.31
Br  0.5000  0.5000  0.5000  8 Hg 3.56, 4 Rh 3.83



(18)
TiHgRh2Br: relaxed, PBE.

Volume (Å³ per atom): 19.92
Total moment (μB per formula unit): 0.00
E_form (uncorrected) (eV/atom): 0.601

Cell: 4.6538 4.6538 4.5991 Å, 90.00 90.00 90.00°
Last column: nearest neighbours and their distance in Å.
Element x y z (fractional)
Ti  0.0000  0.0000  0.0000  2 Br 2.30
Hg  0.5000  0.5000  0.0000  8 Rh 3.27, 4 Ti 3.29
Rh  0.0000  0.5000  0.5000  2 Br 2.33
Rh  0.5000  0.0000  0.5000  2 Br 2.33
Br  0.0000  0.0000  0.5000  2 Ti 2.30, 4 Rh 2.33



(19)
Tl2HgRhBr: relaxed, PBE.

Volume (Å³ per atom): 29.99
Total moment (μB per formula unit): 0.00
E_form (uncorrected) (eV/atom): -0.235

Cell: 5.3393 5.3393 5.2599 Å, 90.00 90.00 90.00°
Last column: nearest neighbours and their distance in Å.
Element x y z (fractional)
Tl  0.0000  0.5000  0.0000  2 Rh 2.67
Tl  0.5000  0.0000  0.0000  2 Rh 2.67
Hg  0.0000  0.0000  0.5000  2 Rh 2.63
Rh  0.0000  0.0000  0.0000  2 Hg 2.63, 4 Tl 2.67
Br  0.5000  0.5000  0.5000  8 Tl 3.75, 4 Hg 3.78



(20)
Hg2RuBr: relaxed, PBE.

Volume (Å³ per atom): 20.83
Total moment (μB per formula unit): 1.02
E_form (uncorrected) (eV/atom): 0.588

Cell: 5.2489 5.2489 3.2919 Å, 90.00 90.00 113.26°
Last column: nearest neighbours and their distance in Å.
Element x y z (fractional)
Hg  0.0000  0.5000  0.0000  2 Hg 2.89, 4 Br 3.10, 4 Ru 3.10
Hg  0.5000  0.0000  0.0000  2 Hg 2.89, 4 Br 3.10, 4 Ru 3.10
Ru  0.0000  0.0000  0.5000  2 Br 2.89, 8 Hg 3.10
Br  0.5000  0.5000  0.5000  2 Ru 2.89, 8 Hg 3.10